(1)
Tl3ZnAg3Br8 | Alexandria | PBE-GGA | relaxed; SG = No. 12; raw formation energy = -0.608 eV per atom; DOS at the Fermi energy = 0.00 states/eV per cell
1.0
-5.908 -5.341 -2.654
7.649 -0.079 -3.591
-0.750 -3.346 8.403
Tl Zn Ag Br
3 1 3 8
direct
0.000 0.000 0.000
0.000 0.500 0.000
0.500 0.500 0.000
0.000 0.000 0.500
0.500 0.000 0.500
0.500 0.500 0.500
0.000 0.500 0.500
0.264 0.528 0.296
0.736 0.472 0.704
0.782 0.563 0.307
0.218 0.437 0.693
0.780 0.022 0.305
0.220 0.978 0.695
0.242 0.022 0.305
0.758 0.978 0.695

(2)
ZrTlAg2Br8 | Alexandria | PBE-GGA | relaxed; SG = No. 2; raw formation energy = -0.806 eV per atom; DOS at the Fermi energy = 2.25 states/eV per cell
1.0
7.279 -0.425 0.545
-0.376 6.758 0.109
0.728 0.183 8.757
Zr Tl Ag Br
1 1 2 8
direct
0.000 0.000 0.000
0.000 0.000 0.500
0.401 0.480 0.724
0.599 0.520 0.276
0.141 0.787 0.198
0.702 0.727 0.013
0.822 0.187 0.231
0.859 0.213 0.802
0.298 0.273 0.987
0.178 0.813 0.769
0.678 0.690 0.535
0.322 0.310 0.465

(3)
TmAg3Br6 | Alexandria | PBE-GGA | relaxed; SG = No. 14; raw formation energy = -0.898 eV per atom; energy above the most stable polymorph in this dataset = 0.000 eV/atom; DOS at the Fermi energy = 0.00 states/eV per cell
1.0
-1.427 3.533 -6.211
1.377 -5.980 -3.718
-10.642 -3.113 1.066
Tm Ag Br
2 6 12
direct
0.500 0.500 0.500
0.000 0.000 0.000
0.478 0.978 0.759
0.500 0.500 0.000
0.522 0.022 0.241
0.978 0.522 0.259
0.000 0.000 0.500
0.022 0.478 0.741
0.666 0.172 0.943
0.656 0.176 0.587
0.614 0.395 0.270
0.386 0.605 0.730
0.344 0.824 0.413
0.334 0.828 0.057
0.166 0.328 0.443
0.156 0.324 0.087
0.114 0.105 0.770
0.886 0.895 0.230
0.844 0.676 0.913
0.834 0.672 0.557

(4)
TmAg2Br6 | Alexandria | PBE-GGA | relaxed; SG = No. 15; raw formation energy = -0.930 eV per atom; DOS at the Fermi energy = 14.85 states/eV per cell
1.0
-6.250 -2.906 1.624
1.661 -9.779 -0.404
0.321 -1.165 9.853
Tm Ag Br
2 4 12
direct
0.250 0.080 0.920
0.750 0.920 0.080
0.341 0.488 0.683
0.159 0.317 0.512
0.659 0.512 0.317
0.841 0.683 0.488
0.435 0.697 0.530
0.065 0.470 0.303
0.565 0.303 0.470
0.935 0.530 0.697
0.817 0.913 0.343
0.683 0.657 0.087
0.183 0.087 0.657
0.317 0.343 0.913
0.153 0.820 0.953
0.347 0.047 0.180
0.847 0.180 0.047
0.653 0.953 0.820

(5)
TmAgBr4 | Alexandria | PBE-GGA | relaxed; SG = No. 15; raw formation energy = -1.320 eV per atom; energy above the most stable polymorph in this dataset = 0.015 eV/atom; DOS at the Fermi energy = 0.00 states/eV per cell
1.0
-3.310 0.877 -6.044
6.439 -1.648 -1.984
-3.914 -8.748 3.975
Tm Ag Br
2 2 8
direct
0.815 0.065 0.129
0.185 0.935 0.871
0.381 0.631 0.263
0.619 0.369 0.737
0.277 0.066 0.663
0.070 0.812 0.089
0.114 0.403 0.337
0.481 0.723 0.911
0.723 0.934 0.337
0.886 0.597 0.663
0.930 0.188 0.911
0.519 0.277 0.089

(6)
TmAg3Br6 | Alexandria | PBE-GGA | relaxed; SG = No. 2; raw formation energy = -0.874 eV per atom; energy above the most stable polymorph in this dataset = 0.024 eV/atom; DOS at the Fermi energy = 0.00 states/eV per cell
1.0
-5.109 -0.977 -6.181
-1.574 -7.322 -3.212
-7.347 -3.406 0.942
Tm Ag Br
1 3 6
direct
0.000 0.000 0.000
0.500 0.500 0.000
0.500 0.000 0.500
0.500 0.500 0.500
0.734 0.778 0.260
0.266 0.222 0.740
0.739 0.265 0.773
0.261 0.735 0.227
0.204 0.755 0.755
0.796 0.245 0.245

Question: Look up the DOS at the Fermi energy of the sixth one.
Answer: 0.00 states/eV per cell

Question: Which formula does entry 6 have?
Answer: TmAg3Br6